Compound: RbNpBO5
Source: the Alexandria database
Functional: PBE
Structure: optimized geometry

Cell and atoms, written as CIF:
```
data_RbNpBO5
_cell_length_a 7.041
_cell_length_b 9.131
_cell_length_c 7.847
_cell_angle_alpha 90.00
_cell_angle_beta 115.86
_cell_angle_gamma 90.00
_symmetry_space_group_name_H-M 'C 1 2/c 1'
_symmetry_Int_Tables_number 15
_symmetry_space_group_name_Hall '-C 2yc'
loop_
_atom_site_label
_atom_site_fract_x
_atom_site_fract_y
_atom_site_fract_z
Rb1 0.000 0.091 0.250
Np1 0.250 0.250 0.000
B1 0.000 0.444 0.250
O1 0.000 0.191 0.750
O2 0.069 0.349 0.132
O3 0.185 0.456 0.872
```

Summary:
Size of the total moment: 0.13 μB per atom
VASP energy: -7.99 eV per atom

Compound: Rb2NpBO6
Source: the Alexandria database
Functional: PBE
Structure: optimized geometry

Cell and atoms, written as CIF:
```
data_Rb2NpBO6
_cell_length_a 6.911
_cell_length_b 6.911
_cell_length_c 7.429
_cell_angle_alpha 90.00
_cell_angle_beta 90.00
_cell_angle_gamma 90.00
_symmetry_space_group_name_H-M 'I 4/m m m'
_symmetry_Int_Tables_number 139
_symmetry_space_group_name_Hall '-I 4 2'
loop_
_atom_site_label
_atom_site_fract_x
_atom_site_fract_y
_atom_site_fract_z
Rb1 0.000 0.500 0.250
Np1 0.000 0.000 0.000
B1 0.000 0.000 0.500
O1 0.000 0.000 0.329
O2 0.194 0.194 0.000
```

Summary:
Size of the total moment: 0.00 μB per atom
VASP energy: -7.43 eV per atom

Compound: Rb2NpB2O6
Source: the Alexandria database
Functional: PBE
Structure: optimized geometry

Cell and atoms, written as CIF:
```
data_Rb2NpB2O6
_cell_length_a 5.5636
_cell_length_b 5.5636
_cell_length_c 19.2360
_cell_angle_alpha 90.00
_cell_angle_beta 90.00
_cell_angle_gamma 120.00
_symmetry_space_group_name_H-M 'R -3 m'
_symmetry_Int_Tables_number 166
_symmetry_space_group_name_Hall '-R 3 2"'
loop_
_atom_site_label
_atom_site_fract_x
_atom_site_fract_y
_atom_site_fract_z
Rb1 0.0000 0.0000 0.2106
Np1 0.0000 0.0000 0.0000
B1 0.0000 0.0000 0.4011
O1 0.0446 0.5223 0.2648
```

Summary:
Size of the total moment: 0.27 μB per atom
VASP energy: -7.73 eV per atom